(1)
The following is a PBE calculation of a relaxed La5GaSi2 crystal, from Alexandria via LeMat-Bulk.

* formation energy without anion corrections: -573 meV/atom
* Fermi-level density of states: 0.81 states/eV per atom
* density: 5.95 g/cm³
* final energy: -172.4 eV for the cell shown

abc: 8.024 8.024 14.221
angles: 90.00 90.00 90.00
Space group I4/mcm (No. 140)
Unique sites:
La 0.000 0.000 0.000 x4
La 0.180 0.320 0.145 x16
Ga 0.000 0.000 0.250 x4
Si 0.112 0.388 0.500 x8



(2)
The following is a PBE calculation of a relaxed La12GaSi5 crystal, from Alexandria via LeMat-Bulk.

* formation energy without anion corrections: -491 meV/atom
* Fermi-level density of states: 0.93 states/eV per atom
* density: 5.81 g/cm³
* final energy: -196.2 eV for the cell shown

abc: 9.934 10.268 10.522
angles: 90.00 90.00 90.00
Space group Immm (No. 71)
Unique sites:
La 0.000 0.199 0.244 x8
La 0.211 0.500 0.177 x8
La 0.236 0.323 0.500 x8
Ga 0.000 0.000 0.500 x2
Si 0.000 0.000 0.000 x2
Si 0.000 0.378 0.000 x4
Si 0.000 0.500 0.387 x4



(3)
The following is a PBE calculation of a relaxed La3Ga4Si4 crystal, from Alexandria via LeMat-Bulk.

* formation energy without anion corrections: -510 meV/atom
* Fermi-level density of states: 0.30 states/eV per atom
* density: 5.64 g/cm³
* final energy: -54.2 eV for the cell shown

abc: 4.390 4.511 12.414
angles: 79.67 80.02 89.92
Space group P-1 (No. 2)
Unique sites:
La 0.000 0.000 0.000 x1
La 0.357 0.849 0.298 x2
Ga 0.205 0.709 0.600 x2
Ga 0.449 0.425 0.102 x2
Si 0.097 0.585 0.804 x2
Si 0.241 0.260 0.500 x2



(4)
The following is a PBE calculation of a relaxed La3GaSi crystal, from Alexandria via LeMat-Bulk.

* formation energy without anion corrections: -504 meV/atom
* ΔE to the lowest computed polymorph: 0.0325 eV/atom
* Fermi-level density of states: 0.93 states/eV per atom
* density: 5.86 g/cm³
* final energy: -103.0 eV for the cell shown

abc: 16.021 4.187 8.713
angles: 90.00 94.35 90.00
Space group C2/m (No. 12)
Unique sites:
La 0.044 0.000 0.168 x4
La 0.093 0.500 0.573 x4
La 0.236 0.000 0.826 x4
Ga 0.211 0.000 0.428 x4
Si 0.105 0.500 0.928 x4